# CrSb2F PBE with a Hubbard U optimized geometry
data_CrSb2F
_chemical_formula_sum 'Cr4 Sb8 F4'
_space_group_name_H-M_alt 'I -4 2 d'
_space_group_IT_number 122
_space_group_name_Hall 'I -4 2bw'
_cell_length_a 4.211
_cell_length_b 4.211
_cell_length_c 20.565
_cell_angle_alpha 90.00
_cell_angle_beta 90.00
_cell_angle_gamma 90.00
loop_
_atom_site_label
_atom_site_fract_x
_atom_site_fract_y
_atom_site_fract_z
Cr1 0.000 0.000 0.000
Sb1 0.243 0.250 0.125
F1 0.000 0.000 0.500
# Crystal system: tetragonal
# Energy above the lowest structure with this stoichiometry, eV/f.u.: 0.42
# Density of states at the Fermi level, states/eV per cell: 7.21
# Total moment, μB per atom: 1.1032